4
Lattice="-1.5415 -4.7191 -1.7375 -1.3656 -3.7475 3.4287 -5.0365 -1.4495 0.4441" Properties=species:S:1:pos:R:3 comment="PBE NaThSbAu, relaxed" n_ef_per_ev_fu=2.12 rho_g_cm3=9.26 final_energy_ev_per_fu=-18.2 space_group=F-43m pbc="T T T"
Sb 0.0000 0.0000 0.0000
Au -3.9718 -4.9580 1.0677
Th -5.9577 -7.4370 1.6016
Na -1.9859 -2.4790 0.5339


4
Lattice="-1.1152 1.4239 -3.1051 -3.4568 -0.2452 -0.9503 -3.4657 9.2758 3.4189" Properties=species:S:1:pos:R:3 comment="PBE Gd2HoCo, relaxed" ef_mev_per_atom=165 n_ef_per_ev_fu=4.66 rho_g_cm3=7.79 final_energy_ev_per_fu=-39.2 e_above_lowest_polymorph_ev_per_atom=0.181 space_group=R-3m pbc="T T T"
Gd -2.8101 6.2769 1.8082
Gd -5.2275 4.1776 -2.4448
Co -4.0188 5.2272 -0.3183
Ho 0.0000 0.0000 0.0000


5
Lattice="-0.6975 -3.6693 0.8807 3.7006 -0.8404 -0.5705 1.1490 1.1603 5.7443" Properties=species:S:1:pos:R:3 comment="PBE MgAlIN2, relaxed" n_ef_per_ev_fu=3.01 rho_g_cm3=3.89 final_energy_ev_per_fu=-20.8 e_above_lowest_polymorph_ev_per_atom=0.000 space_group=P4/mmm pbc="T T T"
I 0.5745 0.5802 2.8722
Mg 2.0760 -1.6747 3.0273
Al 0.0000 0.0000 0.0000
N 1.8503 -0.4202 -0.2852
N -0.3488 -1.8346 0.4403